Model a:
DFT (PBE-GGA) results for a relaxed CaSiTe crystal.

abc: 4.9899 4.9899 4.9899
angles: 60.00 60.00 60.00
Atoms (fractional coordinates):
Ca 0.5000 0.5000 0.5000
Si 0.7500 0.7500 0.7500
Te 0.0000 0.0000 0.0000

Crystal system: cubic
Calculated density, g/cm³: 3.70
Total magnetic moment, Bohr magnetons per cell: 0.0

***

Model b:
DFT (PBE-GGA) results for a relaxed CaSiTe crystal.

abc: 4.8813 4.8813 3.8381
angles: 90.00 90.00 120.00
Atoms (fractional coordinates):
Ca 0.0000 0.0000 0.0000
Si 0.6667 0.3333 0.4997
Te 0.3333 0.6667 0.5002

Crystal system: hexagonal
Calculated density, g/cm³: 4.10
Total magnetic moment, Bohr magnetons per cell: 0.0

***

model b is the most stable structure; the next one sits 13.7 kJ/mol of atoms above it.

***

Model a:
DFT (PBE-GGA) results for a relaxed CaSi3Te crystal.

abc: 5.2293 5.2293 5.2293
angles: 90.00 90.00 90.00
Atoms (fractional coordinates):
Ca 0.5000 0.5000 0.5000
Te 0.0000 0.0000 0.0000
Si 0.0000 0.5000 0.0000
Si 0.0000 0.0000 0.5000
Si 0.5000 0.0000 0.0000

Crystal system: cubic
Calculated density, g/cm³: 2.93
Total magnetic moment, Bohr magnetons per cell: 0.0

***

Model b:
DFT (PBE-GGA) results for a relaxed CaSi3Te crystal.

abc: 5.3677 5.3677 5.3677
angles: 90.00 90.00 90.00
Last column: magnetic moment on the atom in μB.
Atoms (fractional coordinates):
Ca 0.0000 0.0000 0.0000  0.18
Te 0.5000 0.5000 0.5000  0.06
Si 0.0000 0.5000 0.0000  0.10
Si 0.0000 0.0000 0.5000  0.10
Si 0.5000 0.0000 0.0000  0.12

Crystal system: cubic
Calculated density, g/cm³: 2.71
Total magnetic moment, Bohr magnetons per cell: 1.2

***

model a is the most stable structure; the next one sits 54.4 kJ/mol of atoms above it.

***

Model a:
DFT (PBE-GGA) results for a relaxed CaTi2Si2 crystal.

abc: 7.8653 7.8653 2.8007
angles: 90.00 90.00 90.00
Last column: magnetic moment on the atom in μB.
Atoms (fractional coordinates):
Ca 0.0000 0.0000 0.0000  0.03
Ca 0.5000 0.5000 0.0000  0.03
Si 0.1735 0.6735 0.5000  -0.01
Si 0.6735 0.8265 0.5000  -0.01
Si 0.8265 0.3265 0.5000  -0.01
Si 0.3265 0.1735 0.5000  -0.01
Ti 0.3816 0.8816 0.0000  0.31
Ti 0.8816 0.6184 0.0000  0.31
Ti 0.6184 0.1184 0.0000  0.31
Ti 0.1184 0.3816 0.0000  0.31

Crystal system: tetragonal
Calculated density, g/cm³: 3.68
Total magnetic moment, Bohr magnetons per cell: 1.6

***

Model b:
DFT (PBE-GGA) results for a relaxed CaTi2Si2 crystal.

abc: 7.2664 7.2664 3.3383
angles: 90.00 90.00 90.00
Atoms (fractional coordinates):
Ca 0.0000 0.0000 0.0000
Ca 0.5000 0.5000 0.0000
Si 0.3797 0.8797 0.0000
Si 0.8797 0.6203 0.0000
Si 0.6203 0.1203 0.0000
Si 0.1203 0.3797 0.0000
Ti 0.1673 0.6673 0.5000
Ti 0.6673 0.8327 0.5000
Ti 0.8327 0.3327 0.5000
Ti 0.3327 0.1673 0.5000

Crystal system: tetragonal
Calculated density, g/cm³: 3.62
Total magnetic moment, Bohr magnetons per cell: 0.0

***

model a is the most stable structure; the next one sits 1.1 kJ/mol of atoms above it.

***

Model a:
DFT (PBE-GGA) results for a relaxed CaTlSi3 crystal.

abc: 5.2368 5.2368 5.2368
angles: 90.00 90.00 90.00
Atoms (fractional coordinates):
Tl 0.0000 0.0000 0.0000
Si 0.0000 0.5000 0.0000
Si 0.0000 0.0000 0.5000
Si 0.5000 0.0000 0.0000
Ca 0.5000 0.5000 0.5000

Crystal system: cubic
Calculated density, g/cm³: 3.80
Total magnetic moment, Bohr magnetons per cell: 0.0

***

Model b:
DFT (PBE-GGA) results for a relaxed CaTlSi3 crystal.

abc: 5.3875 5.3875 5.3875
angles: 90.00 90.00 90.00
Last column: magnetic moment on the atom in μB.
Atoms (fractional coordinates):
Tl 0.5000 0.5000 0.5000  -0.01
Si 0.0000 0.5000 0.0000  0.08
Si 0.0000 0.0000 0.5000  0.06
Si 0.5000 0.0000 0.0000  0.08
Ca 0.0000 0.0000 0.0000  0.13

Crystal system: cubic
Calculated density, g/cm³: 3.49
Total magnetic moment, Bohr magnetons per cell: 0.8

***

model a is the most stable structure; the next one sits 24.0 kJ/mol of atoms above it.

***

Model a:
DFT (PBE-GGA) results for a relaxed Ca2V2Si crystal.

abc: 4.2466 4.2466 7.0950
angles: 72.59 72.59 90.00
Atoms (fractional coordinates):
Ca 0.7500 0.2500 0.5000
Ca 0.2500 0.7500 0.5000
Si 0.0000 0.0000 0.0000
V 0.4304 0.4304 0.1391
V 0.5696 0.5696 0.8609

Crystal system: tetragonal
Calculated density, g/cm³: 3.01
Total magnetic moment, Bohr magnetons per cell: 0.0

***

Model b:
DFT (PBE-GGA) results for a relaxed Ca2V2Si crystal.

abc: 6.5456 6.5456 5.0188
angles: 90.00 90.00 90.00
Last column: magnetic moment on the atom in μB.
Atoms (fractional coordinates):
Ca 0.1781 0.6781 0.5000  0.03
Ca 0.6781 0.8219 0.5000  0.03
Ca 0.8219 0.3219 0.5000  0.03
Ca 0.3219 0.1781 0.5000  0.03
Si 0.0000 0.0000 0.0000  -0.05
Si 0.5000 0.5000 0.0000  -0.05
V 0.3690 0.8690 0.0000  1.34
V 0.8690 0.6310 0.0000  1.34
V 0.6310 0.1310 0.0000  1.34
V 0.1310 0.3690 0.0000  1.34

Crystal system: tetragonal
Calculated density, g/cm³: 3.25
Total magnetic moment, Bohr magnetons per cell: 6.6

***

model b is the most stable structure; the next one sits 58.7 kJ/mol of atoms above it.

***

Model a:
DFT (PBE-GGA) results for a relaxed CaVSi2 crystal.

abc: 4.8759 4.8759 8.7953
angles: 73.91 73.91 90.00
Last column: magnetic moment on the atom in μB.
Atoms (fractional coordinates):
Ca 0.5000 0.5000 0.0000  0.02
Ca 0.2500 0.7500 0.5000  0.02
Si 0.8297 0.1250 0.2500  -0.05
Si 0.9203 0.6250 0.2500  -0.05
Si 0.3750 0.1703 0.7500  -0.05
Si 0.8750 0.0797 0.7500  -0.05
V 0.0000 0.0000 0.0000  1.23
V 0.7500 0.2500 0.5000  1.23

Crystal system: tetragonal
Calculated density, g/cm³: 2.54
Total magnetic moment, Bohr magnetons per cell: 2.8

***

Model b:
DFT (PBE-GGA) results for a relaxed CaVSi2 crystal.

abc: 4.6405 4.6405 4.6405
angles: 60.00 60.00 60.00
Last column: magnetic moment on the atom in μB.
Atoms (fractional coordinates):
Ca 0.0000 0.0000 0.0000  0.01
Si 0.2500 0.2500 0.2500  -0.02
Si 0.7500 0.7500 0.7500  -0.02
V 0.5000 0.5000 0.5000  2.31

Crystal system: cubic
Calculated density, g/cm³: 3.46
Total magnetic moment, Bohr magnetons per cell: 2.8

***

model b is the most stable structure; the next one sits 3.9 kJ/mol of atoms above it.

***

Model a:
DFT (PBE-GGA) results for a relaxed CaV2Si2 crystal.

abc: 7.6537 7.6537 2.6488
angles: 90.00 90.00 90.00
Atoms (fractional coordinates):
Ca 0.0000 0.0000 0.0000
Ca 0.5000 0.5000 0.0000
Si 0.1780 0.6780 0.5000
Si 0.6780 0.8220 0.5000
Si 0.8220 0.3220 0.5000
Si 0.3220 0.1780 0.5000
V 0.3879 0.8879 0.0000
V 0.8879 0.6121 0.0000
V 0.6121 0.1121 0.0000
V 0.1121 0.3879 0.0000

Crystal system: tetragonal
Calculated density, g/cm³: 4.24
Total magnetic moment, Bohr magnetons per cell: 0.0

***

Model b:
DFT (PBE-GGA) results for a relaxed CaV2Si2 crystal.

abc: 7.0870 7.0870 3.1354
angles: 90.00 90.00 90.00
Atoms (fractional coordinates):
Ca 0.0000 0.0000 0.0000
Ca 0.5000 0.5000 0.0000
Si 0.3769 0.8769 0.0000
Si 0.8769 0.6231 0.0000
Si 0.6231 0.1231 0.0000
Si 0.1231 0.3769 0.0000
V 0.1643 0.6643 0.5000
V 0.6643 0.8357 0.5000
V 0.8357 0.3357 0.5000
V 0.3357 0.1643 0.5000

Crystal system: tetragonal
Calculated density, g/cm³: 4.18
Total magnetic moment, Bohr magnetons per cell: 0.0

***

model a is the most stable structure; the next one sits 9.5 kJ/mol of atoms above it.

***

Model a:
DFT (PBE-GGA) results for a relaxed CaSi2W2 crystal.

abc: 7.2215 7.2215 3.1859
angles: 90.00 90.00 90.00
Atoms (fractional coordinates):
Ca 0.0000 0.0000 0.0000
Ca 0.5000 0.5000 0.0000
Si 0.3650 0.8650 0.0000
Si 0.8650 0.6350 0.0000
Si 0.6350 0.1350 0.0000
Si 0.1350 0.3650 0.0000
W 0.1480 0.6480 0.5000
W 0.6480 0.8520 0.5000
W 0.8520 0.3520 0.5000
W 0.3520 0.1480 0.5000

Crystal system: tetragonal
Calculated density, g/cm³: 9.27
Total magnetic moment, Bohr magnetons per cell: 0.0

***

Model b:
DFT (PBE-GGA) results for a relaxed CaSi2W2 crystal.

abc: 4.6576 4.6576 5.5439
angles: 65.16 65.16 90.00
Atoms (fractional coordinates):
Ca 0.0000 0.0000 0.0000
Si 0.7500 0.2500 0.5000
Si 0.2500 0.7500 0.5000
W 0.3645 0.3645 0.2710
W 0.6355 0.6355 0.7290

Crystal system: tetragonal
Calculated density, g/cm³: 7.96
Total magnetic moment, Bohr magnetons per cell: 0.0

***

model a is the most stable structure; the next one sits 12.1 kJ/mol of atoms above it.